## one
DFT (PBE-GGA) results for LiTcSe2 after structural relaxation.

abc: 5.666 5.666 5.666
angles: 141.72 141.72 55.26
Fractional positions:
Se: 0.250 0.750 0.500
Li: 0.750 0.250 0.500
Se: 0.000 0.000 0.000
Tc: 0.500 0.500 0.000

Output
DOS(E_F) (states/eV/atom): 0.79

## two
DFT (PBE-GGA) results for LiTcSe2 after structural relaxation.

abc: 4.593 4.593 4.593
angles: 60.00 60.00 60.00
Fractional positions:
Se: 0.250 0.250 0.250
Li: 0.500 0.500 0.500
Tc: 0.750 0.750 0.750
Se: 0.000 0.000 0.000

Output
DOS(E_F) (states/eV/atom): 0.96

## three
DFT (PBE-GGA) results for LiTcSe2 after structural relaxation.

abc: 3.328 3.328 6.589
angles: 90.00 90.00 90.00
Fractional positions:
Se: 0.500 0.500 0.349
Tc: 0.000 0.000 0.507
Li: 0.500 0.500 0.763
Se: 0.000 0.000 0.881

Output
DOS(E_F) (states/eV/atom): 0.57

## four
DFT (PBE-GGA) results for LiTcSe2 after structural relaxation.

abc: 4.444 4.444 4.444
angles: 60.00 60.00 60.00
Fractional positions:
Tc: 0.500 0.500 0.500
Li: 0.000 0.000 0.000
Se: 0.750 0.750 0.750
Se: 0.250 0.250 0.250

Output
DOS(E_F) (states/eV/atom): 0.06

Ranked by calculated energy, most stable first: three, four, one, two.

## one
DFT (PBE-GGA) results for LiTcSe2 after structural relaxation.

abc: 3.136 3.136 6.737
angles: 90.00 90.00 90.04
Fractional positions:
Se: 0.000 0.000 0.023
Tc: 0.500 0.500 0.250
Se: 0.000 0.000 0.477
Li: 0.500 0.500 0.750

Output
DOS(E_F) (states/eV/atom): 0.72

## two
DFT (PBE-GGA) results for LiTcSe2 after structural relaxation.

abc: 3.263 3.055 7.322
angles: 89.90 90.00 90.00
Fractional positions:
Li: 0.500 0.750 0.750
Se: 0.000 0.251 0.994
Se: 0.000 0.249 0.506
Tc: 0.500 0.250 0.250

Output
DOS(E_F) (states/eV/atom): 0.80

Ranked by calculated energy, most stable first: one, two.

## one
DFT (PBE-GGA) results for LiTcSe after structural relaxation.

abc: 4.159 4.159 3.198
angles: 90.00 90.00 120.00
Fractional positions:
Se: 0.333 0.667 0.500
Li: 0.000 0.000 0.000
Tc: 0.667 0.333 0.500

Output
DOS(E_F) (states/eV/atom): 1.08

## two
DFT (PBE-GGA) results for LiTcSe after structural relaxation.

abc: 4.074 4.074 4.074
angles: 60.00 60.00 60.00
Fractional positions:
Tc: 0.000 0.000 0.000
Li: 0.500 0.500 0.500
Se: 0.750 0.750 0.750

Output
DOS(E_F) (states/eV/atom): 0.44

## three
DFT (PBE-GGA) results for LiTcSe after structural relaxation.

abc: 6.867 6.595 2.928
angles: 82.68 72.30 25.02
Fractional positions:
Tc: 0.324 0.324 0.676
Se: 0.677 0.677 0.323
Li: 0.999 0.999 0.001

Output
DOS(E_F) (states/eV/atom): 0.79

Ranked by calculated energy, most stable first: two, one, three.

## one
DFT (PBE-GGA) results for Li3TcSe after structural relaxation.

abc: 4.921 4.921 4.921
angles: 90.00 90.00 90.00
Fractional positions:
Li: 0.500 0.000 0.000
Tc: 0.000 0.000 0.000
Se: 0.500 0.500 0.500
Li: 0.000 0.500 0.000
Li: 0.000 0.000 0.500

Output
DOS(E_F) (states/eV/atom): 2.08

## two
DFT (PBE-GGA) results for Li3TcSe after structural relaxation.

abc: 4.760 4.760 4.760
angles: 90.00 90.00 90.00
Fractional positions:
Li: 0.000 0.000 0.500
Tc: 0.500 0.500 0.500
Se: 0.000 0.000 0.000
Li: 0.500 0.000 0.000
Li: 0.000 0.500 0.000

Output
DOS(E_F) (states/eV/atom): 0.66

Ranked by calculated energy, most stable first: two, one.

## one
DFT (PBE-GGA) results for LiTc3Se after structural relaxation.

abc: 4.570 4.570 4.570
angles: 90.00 90.00 90.00
Fractional positions:
Tc: 0.500 0.000 0.000
Tc: 0.000 0.000 0.500
Li: 0.500 0.500 0.500
Se: 0.000 0.000 0.000
Tc: 0.000 0.500 0.000

Output
DOS(E_F) (states/eV/atom): 0.93

## two
DFT (PBE-GGA) results for LiTc3Se after structural relaxation.

abc: 4.217 4.217 4.217
angles: 90.00 90.00 90.00
Fractional positions:
Tc: 0.000 0.000 0.500
Se: 0.500 0.500 0.500
Tc: 0.000 0.500 0.000
Li: 0.000 0.000 0.000
Tc: 0.500 0.000 0.000

Output
DOS(E_F) (states/eV/atom): 1.00

Ranked by calculated energy, most stable first: one, two.

## one
DFT (PBE-GGA) results for Li2TeSe after structural relaxation.

abc: 3.756 3.752 5.873
angles: 90.00 90.00 90.00
Fractional positions:
Te: 0.500 0.500 0.750
Li: 0.000 0.000 0.017
Li: 0.000 0.000 0.483
Se: 0.500 0.500 0.250

Output
DOS(E_F) (states/eV/atom): 0.41

## two
DFT (PBE-GGA) results for Li2TeSe after structural relaxation.

abc: 10.883 10.883 10.883
angles: 17.20 17.20 17.20
Fractional positions:
Te: 0.733 0.733 0.733
Se: 0.524 0.524 0.524
Li: 0.243 0.243 0.243
Li: 0.001 0.001 0.001

Output
DOS(E_F) (states/eV/atom): 0.56

Ranked by calculated energy, most stable first: one, two.

## one
DFT (PBE-GGA) results for LiTeSe3 after structural relaxation.

abc: 5.394 5.394 5.394
angles: 90.00 90.00 90.00
Fractional positions:
Te: 0.000 0.000 0.000
Se: 0.000 0.500 0.000
Se: 0.500 0.000 0.000
Se: 0.000 0.000 0.500
Li: 0.500 0.500 0.500

Output
DOS(E_F) (states/eV/atom): 0.76

## two
DFT (PBE-GGA) results for LiTeSe3 after structural relaxation.

abc: 4.205 8.717 6.930
angles: 92.02 90.00 90.00
Fractional positions:
Se: 0.250 0.940 0.783
Li: 0.750 0.744 0.780
Se: 0.750 0.599 0.451
Te: 0.250 0.816 0.347
Se: 0.750 0.060 0.217
Se: 0.250 0.704 0.985
Te: 0.750 0.184 0.653
Se: 0.250 0.401 0.549
Se: 0.750 0.296 0.015
Li: 0.250 0.256 0.220

Output
DOS(E_F) (states/eV/atom): 0.23

Ranked by calculated energy, most stable first: two, one.

## one
DFT (PBE-GGA) results for Li3TeSe after structural relaxation.

abc: 4.848 4.848 4.848
angles: 90.00 90.00 90.00
Fractional positions:
Li: 0.000 0.500 0.000
Se: 0.000 0.000 0.000
Te: 0.500 0.500 0.500
Li: 0.000 0.000 0.500
Li: 0.500 0.000 0.000

Output
DOS(E_F) (states/eV/atom): 0.70

## two
DFT (PBE-GGA) results for Li3TeSe after structural relaxation.

abc: 5.144 5.144 5.144
angles: 90.00 90.00 90.00
Fractional positions:
Li: 0.000 0.500 0.000
Te: 0.000 0.000 0.000
Se: 0.500 0.500 0.500
Li: 0.000 0.000 0.500
Li: 0.500 0.000 0.000

Output
DOS(E_F) (states/eV/atom): 1.14

Ranked by calculated energy, most stable first: one, two.